# 1
## NdYCu2Ge2 (PBE)

Data for an optimized crystal structure of NdYCu2Ge2.

Cell lengths 4.2739, 4.2739, 7.6279 Å; angles 90.00, 90.00, 120.00 degrees
Closest atoms and distances in Å follow each position.
Fractional positions:
Nd (0.0000, 0.0000, 0.0000)  6 Ge 3.16, 6 Cu 3.19
Y (0.0000, 0.0000, 0.5000)  6 Cu 3.05, 6 Ge 3.08
Cu (0.3333, 0.6667, 0.7347)  3 Ge 2.47
Cu (0.6667, 0.3333, 0.2653)  3 Ge 2.47
Ge (0.3333, 0.6667, 0.2584)  3 Cu 2.47
Ge (0.6667, 0.3333, 0.7416)  3 Cu 2.47

Calculated values
N(E_F) ... 1.40 states/eV/f.u.
Total magnetization ... 0.00 μB per formula unit
DFT formation energy ... -0.683 eV/atom
Final energy ... -32.76 eV/f.u.



# 2
## Tb2NdNpO8 (PBE)

Data for an optimized crystal structure of Tb2NdNpO8.

Cell lengths 3.9293, 7.5168, 5.4419 Å; angles 90.00, 94.00, 90.00 degrees
Closest atoms and distances in Å follow each position.
Fractional positions:
Tb (0.0000, 0.2433, 0.0000)  8 O 2.25-2.45
Tb (0.0000, 0.7567, 0.0000)  8 O 2.25-2.45
Nd (0.5000, 0.0000, 0.5000)  8 O 2.36-2.50
Np (0.5000, 0.5000, 0.5000)  6 O 2.09-2.10
O (0.0079, 0.0000, 0.7591)  2 Tb 2.25, 2 Nd 2.36-2.47
O (0.0450, 0.5000, 0.2772)  1 Np 2.09
O (0.4728, 0.2826, 0.7388)  1 Np 2.10
O (0.4728, 0.7174, 0.7388)  1 Np 2.10
O (0.5272, 0.2826, 0.2612)  1 Np 2.10
O (0.5272, 0.7174, 0.2612)  1 Np 2.10
O (0.9550, 0.5000, 0.7228)  1 Np 2.09
O (0.9921, 0.0000, 0.2409)  2 Tb 2.25, 2 Nd 2.36-2.47

Calculated values
N(E_F) ... 1.27 states/eV/f.u.
Total magnetization ... 0.00 μB per formula unit
Formation energy without anion corrections ... -3.17 eV/atom
Final energy ... -104.65 eV/f.u.



# 3
## FeP3W (PBE)

Data for an optimized crystal structure of FeP3W.

Cell lengths 4.6868, 4.6868, 4.6868 Å; angles 90.00, 90.00, 90.00 degrees
Closest atoms and distances in Å follow each position.
Fractional positions:
Fe (0.0000, 0.0000, 0.0000)  12 P 3.31
P (0.0000, 0.5000, 0.5000)  2 W 2.34
P (0.5000, 0.0000, 0.5000)  2 W 2.34
P (0.5000, 0.5000, 0.0000)  2 W 2.34
W (0.5000, 0.5000, 0.5000)  6 P 2.34

Calculated values
N(E_F) ... 4.44 states/eV/f.u.
Energy relative to the lowest polymorph listed for this composition ... 0 meV per atom
Total magnetization ... 3.31 μB per formula unit
DFT formation energy ... 0.945 eV/atom
Final energy ... -32.92 eV/f.u.



# 4
## MnIn2Se (PBE)

Data for an optimized crystal structure of MnIn2Se.

Cell lengths 7.8826, 7.8826, 7.8826 Å; angles 154.83, 152.07, 37.95 degrees
Closest atoms and distances in Å follow each position.
Fractional positions:
Mn (0.0000, 0.0000, 0.0000)  4 Se 2.56
In (0.1785, 0.6785, 0.5000)  2 Mn 3.17, 2 Se 3.27, 6 In 3.33-3.44
In (0.8215, 0.3215, 0.5000)  2 Mn 3.17, 2 Se 3.27, 6 In 3.33-3.44
Se (0.5000, 0.5000, 0.0000)  4 Mn 2.56

Calculated values
N(E_F) ... 1.83 states/eV/f.u.
Total magnetization ... 3.88 μB per formula unit
Formation energy without anion corrections ... -0.01 eV/atom
Final energy ... -18.18 eV/f.u.



# 5
## Be2IrPt2 (PBE)

Data for an optimized crystal structure of Be2IrPt2.

Cell lengths 6.6851, 6.6851, 2.7526 Å; angles 90.00, 90.00, 90.00 degrees
Closest atoms and distances in Å follow each position.
Fractional positions:
Be (0.1340, 0.3660, 0.0000)  6 Pt 2.36-2.42, 1 Be 2.53, 2 Ir 2.61
Be (0.3660, 0.8660, 0.0000)  6 Pt 2.36-2.42, 1 Be 2.53, 2 Ir 2.61
Be (0.6340, 0.1340, 0.0000)  6 Pt 2.36-2.42, 1 Be 2.53, 2 Ir 2.61
Be (0.8660, 0.6340, 0.0000)  6 Pt 2.36-2.42, 1 Be 2.53, 2 Ir 2.61
Ir (0.0000, 0.0000, 0.0000)  4 Be 2.61, 2 Ir 2.75, 8 Pt 2.86
Ir (0.5000, 0.5000, 0.0000)  4 Be 2.61, 2 Ir 2.75, 8 Pt 2.86
Pt (0.1632, 0.6632, 0.5000)  6 Be 2.36-2.42
Pt (0.3368, 0.1632, 0.5000)  6 Be 2.36-2.42
Pt (0.6632, 0.8368, 0.5000)  6 Be 2.36-2.42
Pt (0.8368, 0.3368, 0.5000)  6 Be 2.36-2.42

Calculated values
N(E_F) ... 2.40 states/eV/f.u.
Energy relative to the lowest polymorph listed for this composition ... 0 meV per atom
Total magnetization ... 0.00 μB per formula unit
DFT formation energy ... -0.450 eV/atom
Final energy ... -30.64 eV/f.u.



# 6
## Ba2AgBiH (PBE)

Data for an optimized crystal structure of Ba2AgBiH.

Cell lengths 5.7023, 5.7023, 4.5675 Å; angles 90.00, 90.00, 90.00 degrees
Closest atoms and distances in Å follow each position.
Fractional positions:
Ba (0.0000, 0.5000, 0.0000)  2 H 2.85
Ba (0.5000, 0.0000, 0.0000)  2 H 2.85
Ag (0.0000, 0.0000, 0.5000)  2 H 2.28
Bi (0.5000, 0.5000, 0.5000)  8 Ba 3.65, 4 Ag 4.03
H (0.0000, 0.0000, 0.0000)  2 Ag 2.28

Calculated values
N(E_F) ... 1.23 states/eV/f.u.
Total magnetization ... 0.00 μB per formula unit
Final energy ... -16.48 eV/f.u.



# 7
## Tm3Cu8 (PBE)

Data for an optimized crystal structure of Tm3Cu8.

Cell lengths 13.2221, 13.2221, 13.2221 Å; angles 164.88, 162.15, 23.47 degrees
Closest atoms and distances in Å follow each position.
Fractional positions:
Tm (0.0000, 0.0000, 0.0000)  12 Cu 2.96-3.05
Tm (0.3550, 0.8550, 0.5000)  12 Cu 2.93-3.09
Tm (0.6450, 0.1450, 0.5000)  12 Cu 2.93-3.09
Cu (0.0966, 0.5966, 0.5000)  3 Cu 2.41
Cu (0.1898, 0.6898, 0.5000)  5 Cu 2.41-2.48
Cu (0.2561, 0.2561, 0.0000)  8 Cu 2.44-2.71
Cu (0.4526, 0.4526, 0.0000)  3 Cu 2.41-2.45
Cu (0.5474, 0.5474, 0.0000)  3 Cu 2.41-2.45
Cu (0.7439, 0.7439, 0.0000)  8 Cu 2.44-2.71
Cu (0.8102, 0.3102, 0.5000)  5 Cu 2.41-2.48
Cu (0.9034, 0.4034, 0.5000)  3 Cu 2.41

Calculated values
N(E_F) ... 6.61 states/eV/f.u.
Total magnetization ... 0.00 μB per formula unit
DFT formation energy ... -0.197 eV/atom
Final energy ... -48.35 eV/f.u.



# 8
## In2TeP (PBE)

Data for an optimized crystal structure of In2TeP.

Cell lengths 3.5439, 3.5439, 7.8388 Å; angles 90.00, 90.00, 90.18 degrees
Closest atoms and distances in Å follow each position.
Fractional positions:
In (0.0000, 0.0000, 0.2048)  4 P 2.97-2.98, 1 In 3.21
In (0.0000, 0.0000, 0.7952)  4 P 2.97-2.98, 1 In 3.21
Te (0.5000, 0.5000, 0.5000)  8 In 3.41, 4 Te 3.54
P (0.5000, 0.5000, 0.0000)  8 In 2.97-2.98

Calculated values
N(E_F) ... 2.29 states/eV/f.u.
Energy relative to the lowest polymorph listed for this composition ... 333 meV per atom
Total magnetization ... 0.00 μB per formula unit
Formation energy without anion corrections ... 0.18 eV/atom
Final energy ... -13.31 eV/f.u.